No. 1
# Hf4InH2 (PBE-GGA, relaxed)
# DOS at the Fermi energy in states/eV/f.u.: 4.86
# Electronic total energy in eV/atom: -7.18
data_Hf4InH2
_space_group_name_H-M_alt 'P 1'
_space_group_IT_number 1
_cell_length_a 5.6049
_cell_length_b 5.9150
_cell_length_c 8.4417
_cell_angle_alpha 114.63
_cell_angle_beta 104.95
_cell_angle_gamma 97.79
loop_
_space_group_symop_operation_xyz
'x,y,z'
loop_
_atom_site_label
_atom_site_type_symbol
_atom_site_fract_x
_atom_site_fract_y
_atom_site_fract_z
_atom_site_occupancy
H1 H 0.5108 0.4647 0.3438 1
Hf1 Hf 0.3407 0.5883 0.1471 1
H2 H 0.5697 0.8698 0.1063 1
In1 In 0.1203 0.0020 0.0036 1
H3 H 0.7695 0.5193 0.9023 1
Hf2 Hf 0.7368 0.2632 0.2259 1
Hf3 Hf 0.7506 0.8414 0.5601 1
Hf4 Hf 0.4513 0.2211 0.8195 1
Hf5 Hf 0.9515 0.4345 0.6893 1
Hf6 Hf 0.8745 0.7602 0.1934 1
Hf7 Hf 0.5332 0.7249 0.8352 1
Hf8 Hf 0.3852 0.2135 0.4443 1
H4 H 0.0547 0.1570 0.7385 1
In2 In 0.2014 0.6903 0.4907 1

***

No. 2
# Sm8Ni2Pt (PBE-GGA, relaxed)
# DOS at the Fermi energy in states/eV/f.u.: 14.37
# Electronic total energy in eV/atom: -5.27
data_Sm8Ni2Pt
_space_group_name_H-M_alt 'P 1'
_space_group_IT_number 1
_cell_length_a 6.2089
_cell_length_b 7.5985
_cell_length_c 7.5985
_cell_angle_alpha 113.79
_cell_angle_beta 100.00
_cell_angle_gamma 100.00
loop_
_space_group_symop_operation_xyz
'x,y,z'
loop_
_atom_site_label
_atom_site_type_symbol
_atom_site_fract_x
_atom_site_fract_y
_atom_site_fract_z
_atom_site_occupancy
Sm1 Sm 0.9816 0.7888 0.2103 1
Sm2 Sm 0.8012 0.6421 0.6421 1
Sm3 Sm 0.5863 0.0843 0.3495 1
Sm4 Sm 0.5863 0.3495 0.0843 1
Sm5 Sm 0.3678 0.6532 0.9196 1
Ni1 Ni 0.4893 0.3146 0.6944 1
Sm6 Sm 0.3678 0.9196 0.6532 1
Sm7 Sm 0.9816 0.2103 0.7888 1
Ni2 Ni 0.4893 0.6944 0.3146 1
Pt1 Pt 0.1755 0.0098 0.0098 1
Sm8 Sm 0.1729 0.3673 0.3673 1

***

No. 3
# Y2GaB2Ir5 (PBE-GGA, relaxed)
# DOS at the Fermi energy in states/eV/f.u.: 2.99
# Electronic total energy in eV/atom: -8.08
data_Y2GaB2Ir5
_space_group_name_H-M_alt 'P 1'
_space_group_IT_number 1
_cell_length_a 3.1778
_cell_length_b 9.6060
_cell_length_c 9.6060
_cell_angle_alpha 90.00
_cell_angle_beta 90.00
_cell_angle_gamma 90.00
loop_
_space_group_symop_operation_xyz
'x,y,z'
loop_
_atom_site_label
_atom_site_type_symbol
_atom_site_fract_x
_atom_site_fract_y
_atom_site_fract_z
_atom_site_occupancy
Ir1 Ir 0.5000 0.0685 0.7804 1
B1 B 0.0000 0.8782 0.3782 1
Ir2 Ir 0.5000 0.0000 0.5000 1
B2 B 0.0000 0.1218 0.6218 1
B3 B 0.0000 0.3782 0.1218 1
Y1 Y 0.0000 0.6770 0.1770 1
Ir3 Ir 0.5000 0.4315 0.2804 1
Ir4 Ir 0.5000 0.5685 0.7196 1
Y2 Y 0.0000 0.3230 0.8230 1
Ir5 Ir 0.5000 0.2804 0.5685 1
Ir6 Ir 0.5000 0.2196 0.0685 1
Ir7 Ir 0.5000 0.7804 0.9315 1
B4 B 0.0000 0.6218 0.8782 1
Ir8 Ir 0.5000 0.9315 0.2196 1
Ir9 Ir 0.5000 0.7196 0.4315 1
Y3 Y 0.0000 0.1770 0.3230 1
Y4 Y 0.0000 0.8230 0.6770 1
Ir10 Ir 0.5000 0.5000 0.0000 1
Ga1 Ga 0.0000 0.5000 0.5000 1
Ga2 Ga 0.0000 0.0000 0.0000 1

***

No. 4
# SrVFe2Sb (PBE-GGA, relaxed)
# DOS at the Fermi energy in states/eV/f.u.: 4.17
# Electronic total energy in eV/atom: -4.29
data_SrVFe2Sb
_space_group_name_H-M_alt 'P 1'
_space_group_IT_number 1
_cell_length_a 4.7588
_cell_length_b 5.0844
_cell_length_c 4.7588
_cell_angle_alpha 90.00
_cell_angle_beta 90.00
_cell_angle_gamma 90.00
loop_
_space_group_symop_operation_xyz
'x,y,z'
loop_
_atom_site_label
_atom_site_type_symbol
_atom_site_fract_x
_atom_site_fract_y
_atom_site_fract_z
_atom_site_occupancy
Fe1 Fe 0.0000 0.0000 0.5000 1
Sr1 Sr 0.0000 0.0000 0.0000 1
Fe2 Fe 0.5000 0.0000 0.0000 1
V1 V 0.0000 0.5000 0.0000 1
Sb1 Sb 0.5000 0.5000 0.5000 1